(1)
The following is a PBE-GGA calculation of K3ErBi2S6 after structural relaxation, from Alexandria. Values from VASP.

Summary:
Calculated density: 4.56 g/cm³
Raw formation energy: -1.167 eV per atom
Calculated volume: 326 Å³/cell
Symmetry: No. 12

```
&SYSTEM
  ibrav = 0, nat = 12, ntyp = 4
/
ATOMIC_SPECIES
K 39.10 K.upf
Er 167.26 Er.upf
Bi 208.98 Bi.upf
S 32.06 S.upf
ATOMIC_POSITIONS angstrom
K -2.3436 4.0998 3.6937
K 4.7224 0.0190 3.6937
K 1.1894 2.0594 3.6937
Er 0.0000 0.0000 0.0000
Bi 0.0050 4.1173 0.0003
Bi 3.5638 2.0620 0.0003
S 3.5302 2.1242 5.8644
S 2.4169 4.1848 1.5283
S -1.1514 1.9946 1.5230
S 0.0757 4.1193 5.8644
S -0.0381 -0.0660 5.8591
S 2.3031 -0.0005 1.5230
CELL_PARAMETERS angstrom
7.1357 -0.0009 0.0003
-3.5669 6.1803 0.0003
-1.1900 -2.0605 7.3869
```


(2)
The following is a PBE-GGA calculation of K2ErBiS4 after structural relaxation, from Alexandria. Values from VASP.

Summary:
Calculated density: 4.51 g/cm³
Raw formation energy: -1.346 eV per atom
Calculated volume: 214 Å³/cell
Symmetry: No. 10

```
&SYSTEM
  ibrav = 0, nat = 8, ntyp = 4
/
ATOMIC_SPECIES
K 39.10 K.upf
Er 167.26 Er.upf
Bi 208.98 Bi.upf
S 32.06 S.upf
ATOMIC_POSITIONS angstrom
K 2.0411 -1.2407 3.6655
K 0.0000 2.3174 3.7345
Er 2.0411 3.5581 0.0691
Bi 0.0000 0.0000 0.0000
S 2.0411 1.2365 1.5535
S 2.0411 3.3983 5.9155
S 0.0000 -0.0227 5.8895
S 0.0000 4.6575 1.5796
CELL_PARAMETERS angstrom
4.0822 0.0000 0.0000
0.0000 7.1163 0.1382
0.0000 -2.4815 7.3309
```


(3)
The following is a PBE-GGA calculation of K2ErBiSe4 after structural relaxation, from Alexandria. Values from VASP.

Summary:
Calculated density: 5.29 g/cm³
Raw formation energy: -1.280 eV per atom
Calculated volume: 242 Å³/cell
Symmetry: No. 10

```
&SYSTEM
  ibrav = 0, nat = 8, ntyp = 4
/
ATOMIC_SPECIES
K 39.10 K.upf
Er 167.26 Er.upf
Bi 208.98 Bi.upf
Se 78.96 Se.upf
ATOMIC_POSITIONS angstrom
K 2.1233 -1.2909 3.8238
K 0.0000 2.4072 3.8951
Er 2.1233 3.6980 0.0713
Bi 0.0000 0.0000 0.0000
Se 2.1233 1.2772 1.6365
Se 2.1233 3.5371 6.1537
Se 0.0000 -0.0312 6.1218
Se 0.0000 4.8456 1.6683
CELL_PARAMETERS angstrom
4.2465 0.0000 0.0000
0.0000 7.3960 0.1426
0.0000 -2.5817 7.6476
```


(4)
The following is a PBE-GGA calculation of K3Er3BiSe8 after structural relaxation, from Alexandria. Values from VASP.

Summary:
Calculated density: 5.20 g/cm³
Raw formation energy: -1.433 eV per atom
Calculated volume: 467 Å³/cell
Symmetry: No. 166

```
&SYSTEM
  ibrav = 0, nat = 15, ntyp = 4
/
ATOMIC_SPECIES
K 39.10 K.upf
Er 167.26 Er.upf
Bi 208.98 Bi.upf
Se 78.96 Se.upf
ATOMIC_POSITIONS angstrom
K 0.0000 0.0000 0.0000
K -2.0731 3.5936 -0.0150
K 2.0727 3.5934 -0.0145
Er 4.1463 -2.3819 3.9246
Er 2.0732 1.2117 3.9096
Er -2.0725 1.2119 3.9092
Bi 0.0005 -2.3817 3.9241
Se 0.0002 2.4033 2.3185
Se 4.1463 0.0201 5.5007
Se 4.1454 2.3571 2.3057
Se 0.0010 0.0662 5.5135
Se 6.1786 -1.1679 2.3211
Se -2.0321 3.5913 5.4981
Se 2.1134 -1.1675 2.3209
Se 2.0331 3.5908 5.4983
CELL_PARAMETERS angstrom
8.2915 -0.0004 0.0009
-4.1461 7.1871 -0.0299
0.0010 -4.7634 7.8482
```


(5)
The following is a PBE-GGA calculation of K3Er2BiSe6 after structural relaxation, from Alexandria. Values from VASP.

Summary:
Calculated density: 5.27 g/cm³
Raw formation energy: -1.440 eV per atom
Calculated volume: 358 Å³/cell
Symmetry: No. 12

```
&SYSTEM
  ibrav = 0, nat = 12, ntyp = 4
/
ATOMIC_SPECIES
K 39.10 K.upf
Er 167.26 Er.upf
Bi 208.98 Bi.upf
Se 78.96 Se.upf
ATOMIC_POSITIONS angstrom
K -2.4761 4.2516 3.8412
K 4.9200 -0.0199 3.8412
K 1.2220 2.1158 3.8412
Er -0.0033 4.2356 -0.0001
Er 3.6704 2.1139 -0.0001
Bi 0.0000 0.0000 0.0000
Se 3.7007 2.0536 6.0999
Se 2.4089 4.1710 1.5772
Se -1.2568 2.1781 1.5825
Se -0.0707 4.2317 6.0999
Se 0.0351 0.0607 6.1052
Se 2.5147 0.0000 1.5825
CELL_PARAMETERS angstrom
7.3326 -0.0011 -0.0001
-3.6655 6.3507 -0.0001
-1.2232 -2.1179 7.6827
```


(6)
The following is a PBE-GGA calculation of K2Er2Bi2Se after structural relaxation, from Alexandria. Values from VASP.

Summary:
Calculated density: 5.77 g/cm³
Raw formation energy: -0.898 eV per atom
Calculated volume: 262 Å³/cell
Symmetry: No. 139

```
&SYSTEM
  ibrav = 0, nat = 7, ntyp = 4
/
ATOMIC_SPECIES
K 39.10 K.upf
Er 167.26 Er.upf
Bi 208.98 Bi.upf
Se 78.96 Se.upf
ATOMIC_POSITIONS angstrom
K 0.0000 0.0000 3.3388
K 2.6831 2.6831 5.7541
Er 0.0000 2.6831 0.0000
Er 2.6831 0.0000 0.0000
Bi 0.0000 0.0000 7.0586
Bi 2.6831 2.6831 2.0342
Se 0.0000 0.0000 0.0000
CELL_PARAMETERS angstrom
5.3662 0.0000 0.0000
0.0000 5.3662 0.0000
-2.6831 -2.6831 9.0928
```


(7)
The following is a PBE-GGA calculation of K3ErBi2Te6 after structural relaxation, from Alexandria. Values from VASP.

Summary:
Calculated density: 5.46 g/cm³
Raw formation energy: -0.875 eV per atom
Calculated volume: 447 Å³/cell
Symmetry: No. 12

```
&SYSTEM
  ibrav = 0, nat = 12, ntyp = 4
/
ATOMIC_SPECIES
K 39.10 K.upf
Er 167.26 Er.upf
Bi 208.98 Bi.upf
Te 127.60 Te.upf
ATOMIC_POSITIONS angstrom
K -2.5834 4.5327 4.1320
K 5.2171 0.0275 4.1320
K 1.3168 2.2801 4.1320
Er 0.0000 0.0000 0.0000
Bi 0.0074 4.5571 0.0005
Bi 3.9435 2.2839 0.0005
Te 3.9235 2.3284 6.5397
Te 2.6622 4.6096 1.7372
Te -1.2898 2.2318 1.7242
Te 0.0560 4.5620 6.5397
Te -0.0285 -0.0494 6.5268
Te 2.5777 -0.0018 1.7242
CELL_PARAMETERS angstrom
7.9004 -0.0014 0.0005
-3.9494 6.8423 0.0005
-1.3172 -2.2808 8.2630
```


(8)
The following is a PBE-GGA calculation of K3Er3BiTe8 after structural relaxation, from Alexandria. Values from VASP.

Summary:
Calculated density: 5.41 g/cm³
Raw formation energy: -1.105 eV per atom
Calculated volume: 568 Å³/cell
Symmetry: No. 12

```
&SYSTEM
  ibrav = 0, nat = 15, ntyp = 4
/
ATOMIC_SPECIES
K 39.10 K.upf
Er 167.26 Er.upf
Bi 208.98 Bi.upf
Te 127.60 Te.upf
ATOMIC_POSITIONS angstrom
K 0.0000 0.0000 0.0000
K 3.7182 -1.2344 -2.0298
K 3.5253 -1.2084 2.3622
Er -1.2710 4.8443 4.3162
Er 2.4472 3.6100 2.2865
Er 2.6400 3.5841 -2.1055
Bi -1.0781 4.8184 -0.0758
Te 3.1954 1.5273 0.1313
Te 1.6990 5.6926 4.4416
Te 2.9165 1.5681 4.5194
Te 1.9779 5.6519 0.0535
Te -0.6763 2.7631 6.4810
Te 5.5707 4.4569 -1.9081
Te -0.4900 2.7380 2.2366
Te 5.3844 4.4819 2.3363
CELL_PARAMETERS angstrom
-0.3857 0.0518 8.7840
7.4364 -2.4687 -4.0596
-2.1563 9.6368 -0.1515
```


(9)
The following is a PBE-GGA calculation of LaErBi2 after structural relaxation, from Alexandria. Values from VASP.

Summary:
Calculated density: 8.64 g/cm³
Relative energy among the computed polymorphs: 0.48 eV per formula unit
Calculated volume: 139 Å³/cell
Symmetry: No. 160
Formation energy: -0.8117 eV per atom

```
&SYSTEM
  ibrav = 0, nat = 4, ntyp = 3
/
ATOMIC_SPECIES
La 138.91 La.upf
Er 167.26 Er.upf
Bi 208.98 Bi.upf
ATOMIC_POSITIONS angstrom
La 1.1623 0.0402 10.9705
Er -0.1205 0.3433 6.5485
Bi 2.7257 -0.8132 5.6550
Bi -0.0207 0.1577 3.3081
CELL_PARAMETERS angstrom
-1.4257 3.1372 2.9661
-3.0841 -1.0919 3.1574
4.2045 -1.3359 6.9187
```


(10)
The following is a PBE-GGA calculation of LaEr2Bi3 after structural relaxation, from Alexandria. Values from VASP.

Summary:
Calculated density: 9.21 g/cm³
Calculated volume: 198 Å³/cell
Symmetry: No. 71
Formation energy: -0.8792 eV per atom

```
&SYSTEM
  ibrav = 0, nat = 6, ntyp = 3
/
ATOMIC_SPECIES
La 138.91 La.upf
Er 167.26 Er.upf
Bi 208.98 Bi.upf
ATOMIC_POSITIONS angstrom
La -0.3369 2.9713 -1.1890
Er 2.7447 0.8563 1.3622
Er 0.8104 4.7218 2.8604
Bi 1.1106 1.6946 3.9200
Bi 0.0000 0.0000 0.0000
Bi 2.4445 3.8835 0.3026
CELL_PARAMETERS angstrom
4.3671 0.0000 -1.2373
-0.6737 5.9426 -2.3780
-0.1382 -0.3645 7.8379
```


(11)
The following is a PBE-GGA calculation of La2ErBi3 after structural relaxation, from Alexandria. Values from VASP.

Summary:
Calculated density: 8.49 g/cm³
Relative energy among the computed polymorphs: 0.03 eV per formula unit
Calculated volume: 419 Å³/cell
Symmetry: No. 15
Formation energy: -0.9612 eV per atom

```
&SYSTEM
  ibrav = 0, nat = 12, ntyp = 3
/
ATOMIC_SPECIES
La 138.91 La.upf
Er 167.26 Er.upf
Bi 208.98 Bi.upf
ATOMIC_POSITIONS angstrom
La 4.8469 -3.6924 0.6687
La 1.1660 -2.2913 3.0946
La 8.2764 -0.7641 -0.2311
La 4.5955 0.6369 2.1948
Er 5.0477 -8.0461 -0.9193
Er 1.8402 -0.7037 -1.2115
Bi 1.6034 -3.6758 0.1482
Bi 5.2845 -5.0740 -2.2790
Bi 1.3186 0.6401 1.6308
Bi 4.4430 -2.2943 3.6585
Bi 4.9994 -0.7611 -0.7951
Bi 8.1238 -3.6955 1.2327
CELL_PARAMETERS angstrom
-0.4736 -5.9444 2.7194
7.3615 -2.8054 -4.8503
2.5545 5.6944 4.9943
```


(12)
The following is a PBE-GGA calculation of LaErBi2 after structural relaxation, from Alexandria. Values from VASP.

Summary:
Calculated density: 8.86 g/cm³
Relative energy among the computed polymorphs: 0.00 eV per formula unit
Calculated volume: 136 Å³/cell
Symmetry: No. 12
Formation energy: -0.9310 eV per atom

```
&SYSTEM
  ibrav = 0, nat = 4, ntyp = 3
/
ATOMIC_SPECIES
La 138.91 La.upf
Er 167.26 Er.upf
Bi 208.98 Bi.upf
ATOMIC_POSITIONS angstrom
La 4.5678 2.6561 3.7435
Er 0.0000 0.0000 0.0000
Bi 6.8518 3.9842 5.7269
Bi 2.2839 1.3280 1.7601
CELL_PARAMETERS angstrom
4.5883 0.0122 0.0176
2.2801 3.9817 0.0176
2.2672 1.3183 7.4519
```